Record 1
DFT (PBE) results for a relaxed Y2Pt crystal.

extended XYZ file:
```
6
Lattice="0.000 4.139 4.139 4.139 0.000 4.139 4.139 4.139 0.000" Properties=species:S:1:pos:R:3 pbc="T T T"
Y 0.000 0.000 0.000
Y 2.070 2.070 0.000
Y 2.070 0.000 2.070
Y 0.000 2.070 2.070
Pt 3.104 3.104 3.104
Pt 5.174 5.174 5.174
```

Values from the calculation:
- Energy relative to the elements: 335 meV per atom
- SG: Fd-3m

Record 2
DFT (PBE) results for a relaxed Y3Pt2 crystal.

extended XYZ file:
```
10
Lattice="8.369 0.000 0.000 0.000 8.369 0.000 0.000 0.000 3.287" Properties=species:S:1:pos:R:3 pbc="T T T"
Y 0.000 0.000 0.000
Y 1.147 3.038 0.000
Y 3.038 7.222 0.000
Y 4.184 4.184 0.000
Y 5.331 1.147 0.000
Y 7.222 5.331 0.000
Pt 1.367 5.552 1.644
Pt 2.817 1.367 1.644
Pt 5.552 7.002 1.644
Pt 7.002 2.817 1.644
```

Values from the calculation:
- Energy relative to the elements: -777 meV per atom
- SG: P4/mbm
- Energy relative to the lowest polymorph listed for this composition: 268 meV/atom

Record 3
DFT (PBE) results for a relaxed Y2Pt3 crystal.

extended XYZ file:
```
10
Lattice="7.416 0.000 0.000 0.000 7.416 0.000 0.000 0.000 3.779" Properties=species:S:1:pos:R:3 pbc="T T T"
Y 1.295 2.413 0.000
Y 2.413 6.121 0.000
Y 5.003 1.295 0.000
Y 6.121 5.003 0.000
Pt 0.000 0.000 1.890
Pt 0.969 4.677 1.890
Pt 2.738 0.969 1.890
Pt 3.708 3.708 1.890
Pt 4.677 6.446 1.890
Pt 6.446 2.738 1.890
```

Values from the calculation:
- Energy relative to the elements: -1099 meV per atom
- SG: P4/mbm

Record 4
DFT (PBE) results for a relaxed YZn2Pt2 crystal.

extended XYZ file:
```
5
Lattice="-1.928 1.928 6.219 1.928 -1.928 6.219 1.928 1.928 -6.219" Properties=species:S:1:pos:R:3 pbc="T T T"
Y 0.000 0.000 0.000
Zn 1.928 0.000 3.110
Zn 0.000 1.928 3.110
Pt 0.000 0.000 4.872
Pt 0.000 0.000 7.567
```

Values from the calculation:
- Energy relative to the elements: -816 meV per atom
- SG: I4/mmm